No. 1
Below is a relaxed LiSn3S4 crystal, with properties calculated at the PBE-GGA level.

Summary:
Density of states at the Fermi level   0.36 states/eV/atom
Uncorrected energy   -4.3760 eV per atom

Structure (CIF):
```
data_LiSn3S4
_chemical_formula_sum 'Li2 Sn6 S8'
_cell_length_a 5.644
_cell_length_b 5.644
_cell_length_c 11.260
_cell_angle_alpha 90.00
_cell_angle_beta 90.00
_cell_angle_gamma 90.00
_symmetry_space_group_name_H-M 'I 4/m m m'
_symmetry_Int_Tables_number 139
_symmetry_space_group_name_Hall '-I 4 2'
loop_
_atom_site_label
_atom_site_type_symbol
_atom_site_fract_x
_atom_site_fract_y
_atom_site_fract_z
Li1 Li 0.000 0.000 0.000
Sn1 Sn 0.000 0.000 0.500
Sn2 Sn 0.000 0.500 0.250
S1 S 0.000 0.000 0.246
S2 S 0.000 0.500 0.000
```

=====

No. 2
Below is a relaxed LiAsF3 crystal, with properties calculated at the PBE-GGA level.

Summary:
Density of states at the Fermi level   0.51 states/eV/atom
Uncorrected energy   -4.0082 eV per atom

Structure (CIF):
```
data_LiAsF3
_chemical_formula_sum 'Li1 As1 F3'
_cell_length_a 4.388
_cell_length_b 4.388
_cell_length_c 4.388
_cell_angle_alpha 90.00
_cell_angle_beta 90.00
_cell_angle_gamma 90.00
_symmetry_space_group_name_H-M 'P m -3 m'
_symmetry_Int_Tables_number 221
_symmetry_space_group_name_Hall '-P 4 2 3'
loop_
_atom_site_label
_atom_site_type_symbol
_atom_site_fract_x
_atom_site_fract_y
_atom_site_fract_z
Li1 Li 0.000 0.000 0.000
As1 As 0.500 0.500 0.500
F1 F 0.000 0.500 0.500
```

=====

No. 3
Below is a relaxed CrHgRh2 crystal, with properties calculated at the PBE-GGA level.

Summary:
DFT formation energy   310 meV per atom
Density of states at the Fermi level   1.17 states/eV/atom
Uncorrected energy   -5.8470 eV per atom

Structure (CIF):
```
data_CrHgRh2
_chemical_formula_sum 'Cr3 Hg3 Rh6'
_cell_length_a 2.8040
_cell_length_b 2.8040
_cell_length_c 27.0467
_cell_angle_alpha 90.00
_cell_angle_beta 90.00
_cell_angle_gamma 120.00
_symmetry_space_group_name_H-M 'R 3 m'
_symmetry_Int_Tables_number 160
_symmetry_space_group_name_Hall 'R 3 -2"'
loop_
_atom_site_label
_atom_site_type_symbol
_atom_site_fract_x
_atom_site_fract_y
_atom_site_fract_z
Cr1 Cr 0.0000 0.0000 0.0000
Hg1 Hg 0.0000 0.0000 0.2443
Rh1 Rh 0.0000 0.0000 0.4890
Rh2 Rh 0.0000 0.0000 0.7379
```

=====

No. 4
Below is a relaxed Na4Dy3TmTe8 crystal, with properties calculated at the PBE-GGA level.

Summary:
Uncorrected energy   -4.3534 eV per atom

Structure (CIF):
```
data_Na4Dy3TmTe8
_chemical_formula_sum 'Na12 Dy9 Tm3 Te24'
_cell_length_a 8.8330
_cell_length_b 8.8330
_cell_length_c 22.6945
_cell_angle_alpha 90.00
_cell_angle_beta 90.00
_cell_angle_gamma 120.00
_symmetry_space_group_name_H-M 'R -3 m'
_symmetry_Int_Tables_number 166
_symmetry_space_group_name_Hall '-R 3 2"'
loop_
_atom_site_label
_atom_site_type_symbol
_atom_site_fract_x
_atom_site_fract_y
_atom_site_fract_z
Na1 Na 0.0000 0.0000 0.0000
Na2 Na 0.0000 0.5000 0.0000
Dy1 Dy 0.0000 0.5000 0.5000
Tm1 Tm 0.0000 0.0000 0.5000
Te1 Te 0.0000 0.0000 0.2441
Te2 Te 0.0026 0.5013 0.2436
```

=====

No. 5
Below is a relaxed Ba2CaYPt crystal, with properties calculated at the PBE-GGA level.

Summary:
DFT formation energy   -315 meV per atom
Density of states at the Fermi level   0.59 states/eV/atom
Uncorrected energy   -3.9850 eV per atom

Structure (CIF):
```
data_Ba2CaYPt
_chemical_formula_sum 'Ba2 Ca1 Y1 Pt1'
_cell_length_a 6.319
_cell_length_b 6.319
_cell_length_c 5.531
_cell_angle_alpha 90.00
_cell_angle_beta 90.00
_cell_angle_gamma 90.00
_symmetry_space_group_name_H-M 'P 4/m m m'
_symmetry_Int_Tables_number 123
_symmetry_space_group_name_Hall '-P 4 2'
loop_
_atom_site_label
_atom_site_type_symbol
_atom_site_fract_x
_atom_site_fract_y
_atom_site_fract_z
Ba1 Ba 0.000 0.500 0.000
Ca1 Ca 0.000 0.000 0.500
Y1 Y 0.500 0.500 0.500
Pt1 Pt 0.500 0.500 0.000
```

=====

No. 6
Below is a relaxed ZrOsPtPb2 crystal, with properties calculated at the PBE-GGA level.

Summary:
DFT formation energy   1493 meV per atom
Density of states at the Fermi level   1.11 states/eV/atom
Uncorrected energy   -5.1542 eV per atom

Structure (CIF):
```
data_ZrOsPtPb2
_chemical_formula_sum 'Zr1 Os1 Pt1 Pb2'
_cell_length_a 5.708
_cell_length_b 5.708
_cell_length_c 4.834
_cell_angle_alpha 90.00
_cell_angle_beta 90.00
_cell_angle_gamma 90.00
_symmetry_space_group_name_H-M 'P 4/m m m'
_symmetry_Int_Tables_number 123
_symmetry_space_group_name_Hall '-P 4 2'
loop_
_atom_site_label
_atom_site_type_symbol
_atom_site_fract_x
_atom_site_fract_y
_atom_site_fract_z
Zr1 Zr 0.000 0.000 0.000
Os1 Os 0.000 0.000 0.500
Pt1 Pt 0.500 0.500 0.500
Pb1 Pb 0.000 0.500 0.000
```

=====

Which value of uncorrected energy does entry 6 give?
-5.1542 eV per atom